[1]
# PBE-GGA LaYCdSi, optimized geometry
data_LaYCdSi
_chemical_formula_sum 'La4 Y4 Cd4 Si4'
_symmetry_space_group_name_H-M 'F -4 3 m'
_symmetry_Int_Tables_number 216
_symmetry_space_group_name_Hall 'F -4 2 3'
_cell_length_a 7.425
_cell_length_b 7.425
_cell_length_c 7.425
_cell_angle_alpha 90.00
_cell_angle_beta 90.00
_cell_angle_gamma 90.00
loop_
_atom_site_label
_atom_site_type_symbol
_atom_site_fract_x
_atom_site_fract_y
_atom_site_fract_z
La1 La 0.000 0.000 0.000
Y1 Y 0.000 0.000 0.500
Cd1 Cd 0.250 0.250 0.250
Si1 Si 0.250 0.250 0.750
# - final energy (eV/atom) = -4.844
# - density of states at the Fermi level (states/eV/atom) = 0.5868
# - crystal system = cubic
# - mass density (g/cm³) = 6.0


[2]
# PBE-GGA Pm3Cd2Pd, optimized geometry
data_Pm3Cd2Pd
_chemical_formula_sum 'Pm3 Cd2 Pd1'
_symmetry_space_group_name_H-M 'P -3 m 1'
_symmetry_Int_Tables_number 164
_symmetry_space_group_name_Hall '-P 3 2"'
_cell_length_a 5.2787
_cell_length_b 5.2787
_cell_length_c 6.5521
_cell_angle_alpha 90.00
_cell_angle_beta 90.00
_cell_angle_gamma 120.00
loop_
_atom_site_label
_atom_site_type_symbol
_atom_site_fract_x
_atom_site_fract_y
_atom_site_fract_z
Pm1 Pm 0.0000 0.0000 0.0000
Pm2 Pm 0.3333 0.6667 0.6438
Cd1 Cd 0.3333 0.6667 0.1420
Pd1 Pd 0.0000 0.0000 0.5000
# - relative energy among the computed polymorphs (meV/atom) = 26.4
# - E_form (eV per atom) = -0.4438
# - density of states at the Fermi level (states/eV/atom) = 0.6789
# - crystal system = trigonal
# - mass density (g/cm³) = 8.0


[3]
# PBE-GGA Sm12Ho5Sc2, optimized geometry
data_Sm12Ho5Sc2
_chemical_formula_sum 'Sm24 Ho10 Sc4'
_symmetry_space_group_name_H-M 'C 1 2/m 1'
_symmetry_Int_Tables_number 12
_symmetry_space_group_name_Hall '-C 2y'
_cell_length_a 19.036
_cell_length_b 7.388
_cell_length_c 9.879
_cell_angle_alpha 90.00
_cell_angle_beta 117.16
_cell_angle_gamma 90.00
loop_
_atom_site_label
_atom_site_type_symbol
_atom_site_fract_x
_atom_site_fract_y
_atom_site_fract_z
Sm1 Sm 0.003 0.000 0.202
Sm2 Sm 0.006 0.500 0.320
Sm3 Sm 0.160 0.247 0.849
Sm4 Sm 0.164 0.240 0.496
Ho1 Ho 0.000 0.000 0.500
Ho2 Ho 0.175 0.000 0.173
Ho3 Ho 0.176 0.500 0.190
Sc1 Sc 0.000 0.305 0.000
# - E_form (eV per atom) = 0.1656
# - density of states at the Fermi level (states/eV/atom) = 1.6559
# - crystal system = monoclinic
# - mass density (g/cm³) = 7.3


[4]
# PBE-GGA SrOsRh, optimized geometry
data_SrOsRh
_chemical_formula_sum 'Sr4 Os4 Rh4'
_symmetry_space_group_name_H-M 'F -4 3 m'
_symmetry_Int_Tables_number 216
_symmetry_space_group_name_Hall 'F -4 2 3'
_cell_length_a 6.565
_cell_length_b 6.565
_cell_length_c 6.565
_cell_angle_alpha 90.00
_cell_angle_beta 90.00
_cell_angle_gamma 90.00
loop_
_atom_site_label
_atom_site_type_symbol
_atom_site_fract_x
_atom_site_fract_y
_atom_site_fract_z
Sr1 Sr 0.000 0.000 0.000
Os1 Os 0.250 0.250 0.750
Rh1 Rh 0.250 0.250 0.250
# - relative energy among the computed polymorphs (meV/atom) = 1570.0
# - E_form (eV per atom) = 1.8993
# - density of states at the Fermi level (states/eV/atom) = 1.9659
# - crystal system = cubic
# - mass density (g/cm³) = 8.9


[5]
# PBE-GGA InPd2, optimized geometry
data_InPd2
_chemical_formula_sum 'In4 Pd8'
_symmetry_space_group_name_H-M 'C 1 2/m 1'
_symmetry_Int_Tables_number 12
_symmetry_space_group_name_Hall '-C 2y'
_cell_length_a 8.780
_cell_length_b 4.151
_cell_length_c 5.747
_cell_angle_alpha 90.00
_cell_angle_beta 103.21
_cell_angle_gamma 90.00
loop_
_atom_site_label
_atom_site_type_symbol
_atom_site_fract_x
_atom_site_fract_y
_atom_site_fract_z
In1 In 0.153 0.000 0.302
Pd1 Pd 0.000 0.500 0.000
Pd2 Pd 0.000 0.500 0.500
Pd3 Pd 0.172 0.000 0.817
# - E_form (eV per atom) = -0.5033
# - density of states at the Fermi level (states/eV/atom) = 0.3306
# - crystal system = monoclinic
# - mass density (g/cm³) = 10.7


[6]
# PBE-GGA LiPrMg2Ga4, optimized geometry
data_LiPrMg2Ga4
_chemical_formula_sum 'Li3 Pr3 Mg6 Ga12'
_symmetry_space_group_name_H-M 'R -3 m'
_symmetry_Int_Tables_number 166
_symmetry_space_group_name_Hall '-R 3 2"'
_cell_length_a 4.6612
_cell_length_b 4.6612
_cell_length_c 25.8972
_cell_angle_alpha 90.00
_cell_angle_beta 90.00
_cell_angle_gamma 120.00
loop_
_atom_site_label
_atom_site_type_symbol
_atom_site_fract_x
_atom_site_fract_y
_atom_site_fract_z
Li1 Li 0.0000 0.0000 0.0000
Pr1 Pr 0.0000 0.0000 0.5000
Mg1 Mg 0.0000 0.0000 0.2577
Ga1 Ga 0.0000 0.0000 0.1060
Ga2 Ga 0.0000 0.0000 0.3706
# - E_form (eV per atom) = -0.3244
# - density of states at the Fermi level (states/eV/atom) = 0.2228
# - crystal system = trigonal
# - mass density (g/cm³) = 4.9


[7]
# PBE-GGA TmCo3, optimized geometry
data_TmCo3
_chemical_formula_sum 'Tm2 Co6'
_symmetry_space_group_name_H-M 'P m m a'
_symmetry_Int_Tables_number 51
_symmetry_space_group_name_Hall '-P 2a 2a'
_cell_length_a 4.871
_cell_length_b 3.802
_cell_length_c 6.413
_cell_angle_alpha 90.00
_cell_angle_beta 90.00
_cell_angle_gamma 90.00
loop_
_atom_site_label
_atom_site_type_symbol
_atom_site_fract_x
_atom_site_fract_y
_atom_site_fract_z
Tm1 Tm 0.250 0.000 0.181
Co1 Co 0.000 0.500 0.500
Co2 Co 0.250 0.000 0.630
Co3 Co 0.250 0.500 0.845
# - E_form (eV per atom) = -0.0993
# - density of states at the Fermi level (states/eV/atom) = 1.2739
# - crystal system = orthorhombic
# - mass density (g/cm³) = 9.7


[8]
# PBE-GGA Ce2GeBi, optimized geometry
data_Ce2GeBi
_chemical_formula_sum 'Ce6 Ge3 Bi3'
_symmetry_space_group_name_H-M 'R -3 m'
_symmetry_Int_Tables_number 166
_symmetry_space_group_name_Hall '-R 3 2"'
_cell_length_a 4.3840
_cell_length_b 4.3840
_cell_length_c 21.8575
_cell_angle_alpha 90.00
_cell_angle_beta 90.00
_cell_angle_gamma 120.00
loop_
_atom_site_label
_atom_site_type_symbol
_atom_site_fract_x
_atom_site_fract_y
_atom_site_fract_z
Ce1 Ce 0.0000 0.0000 0.2419
Ge1 Ge 0.0000 0.0000 0.5000
Bi1 Bi 0.0000 0.0000 0.0000
# - relative energy among the computed polymorphs (meV/atom) = 0.0
# - E_form (eV per atom) = -0.7269
# - density of states at the Fermi level (states/eV/atom) = 1.9477
# - crystal system = trigonal
# - mass density (g/cm³) = 7.7


[9]
# PBE-GGA TaB3I, optimized geometry
data_TaB3I
_chemical_formula_sum 'Ta1 B3 I1'
_symmetry_space_group_name_H-M 'P m -3 m'
_symmetry_Int_Tables_number 221
_symmetry_space_group_name_Hall '-P 4 2 3'
_cell_length_a 4.496
_cell_length_b 4.496
_cell_length_c 4.496
_cell_angle_alpha 90.00
_cell_angle_beta 90.00
_cell_angle_gamma 90.00
loop_
_atom_site_label
_atom_site_type_symbol
_atom_site_fract_x
_atom_site_fract_y
_atom_site_fract_z
Ta1 Ta 0.000 0.000 0.000
B1 B 0.000 0.000 0.500
I1 I 0.500 0.500 0.500
# - relative energy among the computed polymorphs (meV/atom) = 0.0
# - density of states at the Fermi level (states/eV/atom) = 0.9363
# - crystal system = cubic
# - mass density (g/cm³) = 6.2


[10]
# PBE-GGA ScIr3, optimized geometry
data_ScIr3
_chemical_formula_sum 'Sc1 Ir3'
_symmetry_space_group_name_H-M 'P 1 2/m 1'
_symmetry_Int_Tables_number 10
_symmetry_space_group_name_Hall '-P 2y'
_cell_length_a 2.829
_cell_length_b 4.596
_cell_length_c 5.062
_cell_angle_alpha 90.00
_cell_angle_beta 103.40
_cell_angle_gamma 90.00
loop_
_atom_site_label
_atom_site_type_symbol
_atom_site_fract_x
_atom_site_fract_y
_atom_site_fract_z
Sc1 Sc 0.000 0.000 0.000
Ir1 Ir 0.365 0.500 0.733
Ir2 Ir 0.500 0.000 0.500
# - E_form (eV per atom) = -0.2788
# - density of states at the Fermi level (states/eV/atom) = 1.1108
# - crystal system = monoclinic
# - mass density (g/cm³) = 16.1


[11]
# PBE-GGA Gd2Si3Ni, optimized geometry
data_Gd2Si3Ni
_chemical_formula_sum 'Gd2 Si3 Ni1'
_symmetry_space_group_name_H-M 'P -6 m 2'
_symmetry_Int_Tables_number 187
_symmetry_space_group_name_Hall 'P -6 2'
_cell_length_a 4.0156
_cell_length_b 4.0156
_cell_length_c 8.1598
_cell_angle_alpha 90.00
_cell_angle_beta 90.00
_cell_angle_gamma 120.00
loop_
_atom_site_label
_atom_site_type_symbol
_atom_site_fract_x
_atom_site_fract_y
_atom_site_fract_z
Gd1 Gd 0.0000 0.0000 0.2448
Si1 Si 0.3333 0.6667 0.0000
Si2 Si 0.3333 0.6667 0.5000
Si3 Si 0.6667 0.3333 0.5000
Ni1 Ni 0.6667 0.3333 0.0000
# - final energy (eV/atom) = -9.062
# - density of states at the Fermi level (states/eV/atom) = 1.2571
# - crystal system = hexagonal
# - mass density (g/cm³) = 6.7


> Among the records above, which one has the lowest density of states at the Fermi level?

LiPrMg2Ga4


> The highest mass density belongs to which entry?

ScIr3